# Pm2IrPd PBE relaxed
# - Crystal system: tetragonal
# - Energy above the lowest structure with this stoichiometry: 0.050 eV per atom
# - Space group: P4/mmm (123)
data_Pm2IrPd
_symmetry_space_group_name_H-M 'P 1'
_symmetry_Int_Tables_number 1
_symmetry_space_group_name_Hall 'P 1'
_cell_length_a 3.5665
_cell_length_b 3.5665
_cell_length_c 7.1295
_cell_angle_alpha 90.00
_cell_angle_beta 90.00
_cell_angle_gamma 90.00
loop_
_atom_site_label
_atom_site_type_symbol
_atom_site_fract_x
_atom_site_fract_y
_atom_site_fract_z
_atom_site_occupancy
Ir1 Ir 0.5000 0.5000 0.0000 1
Pd1 Pd 0.5000 0.5000 0.5000 1
Pm1 Pm 0.0000 0.0000 0.7618 1
Pm2 Pm 0.0000 0.0000 0.2382 1

=====

# PmIrPd2 PBE relaxed
# - Crystal system: tetragonal
# - Space group: P4/mmm (123)
data_PmIrPd2
_symmetry_space_group_name_H-M 'P 1'
_symmetry_Int_Tables_number 1
_symmetry_space_group_name_Hall 'P 1'
_cell_length_a 4.0947
_cell_length_b 4.1960
_cell_length_c 4.1960
_cell_angle_alpha 90.00
_cell_angle_beta 90.00
_cell_angle_gamma 90.00
loop_
_atom_site_label
_atom_site_type_symbol
_atom_site_fract_x
_atom_site_fract_y
_atom_site_fract_z
_atom_site_occupancy
Ir1 Ir 0.5000 0.5000 0.5000 1
Pd1 Pd 0.0000 0.0000 0.5000 1
Pd2 Pd 0.0000 0.5000 0.0000 1
Pm1 Pm 0.5000 0.0000 0.0000 1

=====

# PmPuIrPd PBE relaxed
# - Crystal system: cubic
# - Energy above the lowest structure with this stoichiometry: 0.061 eV per atom
# - Space group: F-43m (216)
data_PmPuIrPd
_symmetry_space_group_name_H-M 'P 1'
_symmetry_Int_Tables_number 1
_symmetry_space_group_name_Hall 'P 1'
_cell_length_a 4.9682
_cell_length_b 4.9682
_cell_length_c 4.9682
_cell_angle_alpha 60.00
_cell_angle_beta 60.00
_cell_angle_gamma 60.00
loop_
_atom_site_label
_atom_site_type_symbol
_atom_site_fract_x
_atom_site_fract_y
_atom_site_fract_z
_atom_site_occupancy
Ir1 Ir 0.0000 0.0000 0.0000 1
Pm1 Pm 0.7500 0.7500 0.7500 1
Pd1 Pd 0.5000 0.5000 0.5000 1
Pu1 Pu 0.2500 0.2500 0.2500 1

=====

# PmPuIrPd PBE relaxed
# - Crystal system: orthorhombic
# - Energy above the lowest structure with this stoichiometry: 0.000 eV per atom
# - Space group: Amm2 (38)
data_PmPuIrPd
_symmetry_space_group_name_H-M 'P 1'
_symmetry_Int_Tables_number 1
_symmetry_space_group_name_Hall 'P 1'
_cell_length_a 3.8885
_cell_length_b 4.1291
_cell_length_c 5.9885
_cell_angle_alpha 90.00
_cell_angle_beta 108.95
_cell_angle_gamma 90.00
loop_
_atom_site_label
_atom_site_type_symbol
_atom_site_fract_x
_atom_site_fract_y
_atom_site_fract_z
_atom_site_occupancy
Pm1 Pm 0.1461 0.0000 0.2921 1
Pu1 Pu 0.8674 0.5000 0.7347 1
Ir1 Ir 0.4045 0.0000 0.8090 1
Pd1 Pd 0.5821 0.5000 0.1642 1

=====

no.,calculated formation energy (eV/atom),DOS at the Fermi energy (states/eV/f.u.),energy (eV per atom)
1,-0.728,1.713,-6.617
2,-0.491,4.032,-6.491
3,-0.563,10.937,-8.847
4,-0.624,10.367,-8.908